1.
Entry from the Alexandria database: a geometry-optimized BaCuH12C4O14 structure (GGA-PBEsol).

## Properties
Raw total energy = -6.138 eV per atom
Size of the total moment = 1.0 μB/f.u.

Cell lengths 15.8969, 10.4982, 15.2792 Å; angles 90.00, 98.00, 90.00 degrees
With the nearest neighbours (Å) after each atom.
Space group C2/c (No. 15)
Unique sites:
Ba  0.1365  0.0218  0.2051 [8 per cell]  9 O 2.68-2.92
Cu  0.1200  0.4217  0.4448 [8 per cell]  4 O 1.92-1.97
H  0.0302  0.1340  0.5425 [8 per cell]  1 O 1.00
H  0.0525  0.1119  0.3835 [8 per cell]  1 O 0.99
H  0.0541  0.2914  0.9280 [8 per cell]  1 O 0.99
H  0.0589  0.0398  0.8899 [8 per cell]  1 O 0.99
H  0.0940  0.3060  0.7292 [8 per cell]  1 O 0.99
H  0.0968  0.2195  0.8147 [8 per cell]  1 O 0.98
H  0.1182  0.2006  0.9915 [8 per cell]  1 O 1.01
H  0.1258  0.1712  0.5418 [8 per cell]  1 O 0.99
H  0.1606  0.4466  0.2792 [8 per cell]  1 O 1.00
H  0.2113  0.3291  0.3283 [8 per cell]  1 O 1.01
H  0.2235  0.2591  0.1034 [8 per cell]  1 O 1.00
H  0.2470  0.1370  0.0506 [8 per cell]  1 O 0.99
C  0.0242  0.3367  0.1513 [8 per cell]  2 O 1.24-1.29
C  0.0296  0.4839  0.1533 [8 per cell]  2 O 1.25-1.28
C  0.2253  0.3724  0.5979 [8 per cell]  2 O 1.25-1.28
C  0.2251  0.4829  0.0838 [8 per cell]  2 O 1.24-1.29
O  0.0320  0.4576  0.8931 [8 per cell]  1 C 1.28
O  0.0432  0.0321  0.3489 [8 per cell]  2 H 0.99
O  0.0426  0.2910  0.3958 [8 per cell]  1 C 1.29
O  0.0703  0.2012  0.9406 [8 per cell]  2 H 0.99-1.01
O  0.0821  0.2734  0.1932 [8 per cell]  1 C 1.24
O  0.0881  0.0964  0.5455 [8 per cell]  2 H 0.99-1.00
O  0.0917  0.4642  0.6986 [8 per cell]  1 C 1.25
O  0.1010  0.2169  0.7512 [8 per cell]  2 H 0.98-0.99
O  0.1795  0.3103  0.5365 [8 per cell]  1 C 1.28
O  0.1842  0.4450  0.0095 [8 per cell]  1 C 1.29
O  0.2000  0.1767  0.0776 [8 per cell]  2 H 0.99-1.00
O  0.2008  0.4233  0.3331 [8 per cell]  2 H 1.00-1.01
O  0.2309  0.1741  0.3358 [8 per cell]  1 C 1.25
O  0.2370  0.0894  0.8595 [8 per cell]  1 C 1.24



2.
Entry from the Alexandria database: a geometry-optimized BaTa2CuC structure (GGA-PBEsol).

## Properties
D(E_F) = 6.21 states/eV/cell
Raw total energy = -4.129 eV per atom
Size of the total moment = 0.0 μB/f.u.

Cell lengths 5.0676, 5.0676, 4.7355 Å; angles 90.00, 90.00, 90.00 degrees
With the nearest neighbours (Å) after each atom.
Space group P4/mmm (No. 123)
Unique sites:
Ba  0.0000  0.0000  0.0000 [1 per cell]  2 Cu 2.37, 4 Ta 2.53
Ta  0.0000  0.5000  0.0000 [2 per cell]  2 Ba 2.53
Cu  0.0000  0.0000  0.5000 [1 per cell]  2 Ba 2.37
C  0.5000  0.5000  0.5000 [1 per cell]  8 Ta 3.47, 4 Cu 3.58



> Which of these has the highest size of the total moment?

BaCuH12C4O14



Please write out number 2 again, unchanged.
Entry from the Alexandria database: a geometry-optimized BaTa2CuC structure (GGA-PBEsol).

## Properties
D(E_F) = 6.21 states/eV/cell
Raw total energy = -4.129 eV per atom
Size of the total moment = 0.0 μB/f.u.

Cell lengths 5.0676, 5.0676, 4.7355 Å; angles 90.00, 90.00, 90.00 degrees
With the nearest neighbours (Å) after each atom.
Space group P4/mmm (No. 123)
Unique sites:
Ba  0.0000  0.0000  0.0000 [1 per cell]  2 Cu 2.37, 4 Ta 2.53
Ta  0.0000  0.5000  0.0000 [2 per cell]  2 Ba 2.53
Cu  0.0000  0.0000  0.5000 [1 per cell]  2 Ba 2.37
C  0.5000  0.5000  0.5000 [1 per cell]  8 Ta 3.47, 4 Cu 3.58